Material: Cs6Tb3I14
Method: DFT, PBE-GGA
State: optimized geometry

abc: 14.0019 14.0019 7.6162
angles: 90.00 90.00 120.00
Atoms (fractional coordinates):
Cs 0.0275 0.5679 0.0000
Cs 0.3084 0.1025 0.4872
Cs 0.4321 0.4596 0.0000
Cs 0.5404 0.9725 0.0000
Cs 0.7940 0.6916 0.4872
Cs 0.8975 0.2060 0.4872
Tb 0.0000 0.0000 0.9063
Tb 0.3333 0.6667 0.4179
Tb 0.6667 0.3333 0.7567
I 0.0000 0.0000 0.2922
I 0.0781 0.8541 0.7762
I 0.1459 0.2240 0.7762
I 0.1847 0.4430 0.2853
I 0.2583 0.8153 0.2853
I 0.3333 0.6667 0.8037
I 0.4568 0.1964 0.9790
I 0.5313 0.4074 0.5320
I 0.5570 0.7417 0.2853
I 0.5926 0.1239 0.5320
I 0.7396 0.5432 0.9790
I 0.7760 0.9219 0.7762
I 0.8036 0.2604 0.9790
I 0.8761 0.4687 0.5320

Computed properties:
The symmetry is P3, No. 143. The spin magnetization is 1.22 μB/cell. As for the total energy: -3.180 eV/atom. The uncorrected formation energy comes out at -3129 kJ/mol of formula units. For the density of states at the Fermi level, the calculation gives 0.447 states/eV/atom.